Computed, not measured: BaCrRh3 at its PBEsol-relaxed geometry at the SCAN level of DFT.

Output
Symmetry   No. 221
Energy relative to the elements   147 kJ/mol of formula units
E   -157.7 eV per formula unit
DOS at the Fermi energy   2.8 states/eV per cell
ρ   8.7 g/cm3

Cell lengths 4.5663, 4.5663, 4.5663 Å; angles 90.00, 90.00, 90.00 degrees
With the nearest neighbours (Å) after each atom.
Fractional positions:
Cr (0.0000, 0.0000, 0.0000)  6 Rh 2.28
Rh (0.0000, 0.5000, 0.0000)  2 Cr 2.28
Rh (0.0000, 0.0000, 0.5000)  2 Cr 2.28
Rh (0.5000, 0.0000, 0.0000)  2 Cr 2.28
Ba (0.5000, 0.5000, 0.5000)  12 Rh 3.23

Computed, not measured: Ba2CrRh at its PBEsol-relaxed geometry at the SCAN level of DFT.

Output
Symmetry   No. 225
Energy relative to the elements   120 kJ/mol of formula units
E   -130.0 eV per formula unit
DOS at the Fermi energy   1.5 states/eV per cell
ρ   6.3 g/cm3

Cell lengths 5.4318, 5.4318, 5.4318 Å; angles 60.00, 60.00, 60.00 degrees
With the nearest neighbours (Å) after each atom.
Fractional positions:
Ba (0.2500, 0.2500, 0.2500)  4 Cr 3.33, 4 Rh 3.33
Ba (0.7500, 0.7500, 0.7500)  4 Cr 3.33, 4 Rh 3.33
Cr (0.0000, 0.0000, 0.0000)  8 Ba 3.33
Rh (0.5000, 0.5000, 0.5000)  8 Ba 3.33

Computed, not measured: BaCr2Rh at its PBEsol-relaxed geometry at the SCAN level of DFT.

Output
Symmetry   No. 123
Energy relative to the elements   265 kJ/mol of formula units
E   -107.3 eV per formula unit
DOS at the Fermi energy   3.3 states/eV per cell
ρ   7.0 g/cm3

Cell lengths 4.2898, 4.2898, 4.4215 Å; angles 90.00, 90.00, 90.00 degrees
With the nearest neighbours (Å) after each atom.
Fractional positions:
Ba (0.0000, 0.0000, 0.5000)  4 Rh 3.03, 8 Cr 3.08
Cr (0.0000, 0.5000, 0.0000)  4 Cr 3.03, 4 Ba 3.08, 4 Rh 3.08
Cr (0.5000, 0.0000, 0.0000)  4 Cr 3.03, 4 Ba 3.08, 4 Rh 3.08
Rh (0.5000, 0.5000, 0.5000)  4 Ba 3.03, 8 Cr 3.08

Computed, not measured: BaCrSbRh2 at its PBEsol-relaxed geometry at the SCAN level of DFT.

Output
Symmetry   No. 123
ΔE_f (raw)   1770 meV per atom
E   -153.9 eV per formula unit
DOS at the Fermi energy   4.9 states/eV per cell
ρ   5.8 g/cm3

Cell lengths 4.9377, 4.9377, 6.0888 Å; angles 90.00, 90.00, 90.00 degrees
With the nearest neighbours (Å) after each atom.
Fractional positions:
Sb (0.0000, 0.0000, 0.5000)  2 Ba 3.04
Rh (0.0000, 0.5000, 0.0000)  2 Ba 2.47
Rh (0.5000, 0.0000, 0.0000)  2 Ba 2.47
Ba (0.0000, 0.0000, 0.0000)  4 Rh 2.47
Cr (0.5000, 0.5000, 0.5000)  4 Sb 3.49